# TbPuCrN3 (PBE, optimized geometry)
# Uncorrected energy: -9.94 eV per atom
# Symmetry: P2_1/m
data_TbPuCrN3
_symmetry_space_group_name_H-M 'P 1'
_symmetry_Int_Tables_number 1
_cell_length_a 3.4001
_cell_length_b 7.0837
_cell_length_c 7.4312
_cell_angle_alpha 95.69
_cell_angle_beta 90.00
_cell_angle_gamma 90.00
loop_
_symmetry_equiv_pos_as_xyz
'x,y,z'
loop_
_atom_site_label
_atom_site_type_symbol
_atom_site_fract_x
_atom_site_fract_y
_atom_site_fract_z
_atom_site_occupancy
Tb1 Tb 0.7500 0.8423 0.8361 1
Tb2 Tb 0.2500 0.1577 0.1639 1
Pu1 Pu 0.2500 0.6326 0.1766 1
Pu2 Pu 0.7500 0.3674 0.8234 1
Cr1 Cr 0.2500 0.0827 0.5952 1
Cr2 Cr 0.7500 0.9173 0.4048 1
N1 N 0.2500 0.8313 0.4809 1
N2 N 0.7500 0.8872 0.1518 1
N3 N 0.7500 0.3990 0.1319 1
N4 N 0.7500 0.1687 0.5191 1
N5 N 0.2500 0.6010 0.8681 1
N6 N 0.2500 0.1128 0.8482 1